# 1
Hf2Ti2In7 | PBE | optimized geometry

Summary:
- Space group: No. 65
- Final energy: -4.6116 eV per atom

Cell: 6.6336 6.4960 6.6336 Å, 90.01 101.37 89.99°
Site moments in Bohr magnetons follow the coordinates.
Sites, in units of the cell vectors:
Hf1 0.8260 0.5000 0.8260  -0.04
Hf2 0.1740 0.5000 0.1740  -0.04
Ti1 0.7288 0.0002 0.2712  0.40
Ti2 0.2712 0.9998 0.7288  0.40
In1 0.0002 0.2789 0.5001  0.00
In2 0.5001 0.7211 0.0002  0.00
In3 0.9998 0.7211 0.4999  0.00
In4 0.4999 0.2789 0.9998  0.00
In5 0.0000 0.0000 0.0000  0.04
In6 0.5001 0.7332 0.4999  0.01
In7 0.4999 0.2668 0.5001  0.01

---

# 2
Hf2Ti7In3 | PBE | optimized geometry

Summary:
- Space group: No. 10
- Final energy: -6.8798 eV per atom

Cell: 2.9584 4.9090 16.6936 Å, 104.94 90.00 90.00°
Site moments in Bohr magnetons follow the coordinates.
Sites, in units of the cell vectors:
Hf1 0.5000 0.5660 0.2853  0.03
Hf2 0.5000 0.4340 0.7147  0.03
Ti1 0.5000 0.0407 0.8274  0.03
Ti2 0.5000 0.9593 0.1726  0.03
Ti3 0.5000 0.7123 0.4586  0.61
Ti4 0.5000 0.2877 0.5414  0.61
Ti5 0.0000 0.0000 0.0000  0.47
Ti6 0.0000 0.5902 0.8611  0.07
Ti7 0.0000 0.4098 0.1389  0.07
In1 0.0000 0.8571 0.6248  -0.01
In2 0.0000 0.1429 0.3752  -0.01
In3 0.5000 0.5000 0.0000  0.00

---

# 3
HfTi5In4 | PBE | optimized geometry

Summary:
- Space group: No. 123
- Final energy: -6.1569 eV per atom

Cell: 3.0062 3.0062 21.4775 Å, 90.00 90.00 90.00°
Sites, in units of the cell vectors:
Hf1 0.0000 0.0000 0.0000
Ti1 0.5000 0.5000 0.0997
Ti2 0.5000 0.5000 0.3020
Ti3 0.5000 0.5000 0.5000
Ti4 0.5000 0.5000 0.6980
Ti5 0.5000 0.5000 0.9003
In1 0.0000 0.0000 0.2028
In2 0.0000 0.0000 0.4009
In3 0.0000 0.0000 0.5991
In4 0.0000 0.0000 0.7972

---

# 4
Hf4Ti3In | PBE | optimized geometry

Summary:
- Space group: No. 51
- Final energy: -8.2824 eV per atom

Cell: 5.2671 6.1743 10.0047 Å, 90.00 90.00 90.00°
Sites, in units of the cell vectors:
In1 0.0000 0.5000 0.0000
In2 0.0000 0.5000 0.5000
Hf1 0.5000 0.7528 0.0000
Hf2 0.5000 0.7528 0.5000
Hf3 0.5000 0.2472 0.0000
Hf4 0.5000 0.2472 0.5000
Hf5 0.1470 0.7527 0.7500
Hf6 0.8530 0.7527 0.2500
Hf7 0.8530 0.2473 0.2500
Hf8 0.1470 0.2473 0.7500
Ti1 0.0000 0.0000 0.0000
Ti2 0.0000 0.0000 0.5000
Ti3 0.6493 0.0000 0.7500
Ti4 0.3507 0.0000 0.2500
Ti5 0.6686 0.5000 0.7500
Ti6 0.3314 0.5000 0.2500

---

# 5
HfTiIn | PBE | optimized geometry

Summary:
- Space group: No. 139
- Final energy: -6.8129 eV per atom
- Excess energy over the best structure of this formula in the dataset: 0.0000 eV per atom

Cell: 4.9835 7.5557 7.5557 Å, 83.76 70.74 70.74°
Sites, in units of the cell vectors:
Hf1 0.1721 0.6559 0.0000
Hf2 0.8279 0.3441 0.0000
Hf3 0.8279 0.0000 0.3441
Hf4 0.1721 0.0000 0.6559
Ti1 0.6150 0.3850 0.3850
Ti2 0.3850 0.6150 0.6150
Ti3 0.0000 0.3850 0.6150
Ti4 0.0000 0.6150 0.3850
In1 0.2730 0.2270 0.2270
In2 0.7270 0.7730 0.7730
In3 0.5000 0.2270 0.7730
In4 0.5000 0.7730 0.2270

---

# 6
Hf4TiIn | PBE | optimized geometry

Summary:
- Space group: No. 12
- Final energy: -8.4293 eV per atom
- Excess energy over the best structure of this formula in the dataset: 0.0000 eV per atom

Cell: 5.3524 5.3535 5.4084 Å, 60.34 81.09 71.76°
Sites, in units of the cell vectors:
Hf1 0.0000 0.3382 0.3236
Hf2 0.5000 0.1643 0.6715
Hf3 0.0000 0.6618 0.6764
Hf4 0.5000 0.8357 0.3285
Ti1 0.0000 0.0000 0.0000
In1 0.5000 0.5000 0.0000

---

# 7
Hf8TiIn6 | PBE | optimized geometry

Summary:
- Space group: No. 148
- Final energy: -6.6848 eV per atom

Cell: 8.2952 8.2952 7.6654 Å, 57.24 57.24 60.00°
Sites, in units of the cell vectors:
Hf1 0.5394 0.2299 0.3414
Hf2 0.7701 0.1107 0.6586
Hf3 0.1107 0.4606 0.6586
Hf4 0.6663 0.6663 0.0010
Hf5 0.3337 0.3337 0.9990
Hf6 0.8893 0.5394 0.3414
Hf7 0.2299 0.8893 0.3414
Hf8 0.4606 0.7701 0.6586
Ti1 0.0000 0.0000 0.0000
In1 0.3790 0.0604 0.8226
In2 0.9396 0.2620 0.1774
In3 0.2620 0.6210 0.1774
In4 0.7380 0.3790 0.8226
In5 0.0604 0.7380 0.8226
In6 0.6210 0.9396 0.1774

---

# 8
Hf2TiIn2 | PBE | optimized geometry

Summary:
- Space group: No. 127
- Final energy: -6.6238 eV per atom
- Excess energy over the best structure of this formula in the dataset: 0.0792 eV per atom

Cell: 7.4169 7.4169 3.9691 Å, 90.00 90.00 90.00°
Site moments in Bohr magnetons follow the coordinates.
Sites, in units of the cell vectors:
Ti1 0.0000 0.0000 0.0000  0.90
Ti2 0.5000 0.5000 0.0000  0.89
Hf1 0.1713 0.6713 0.5000  0.13
Hf2 0.6713 0.8287 0.5000  0.13
Hf3 0.8287 0.3287 0.5000  0.13
Hf4 0.3287 0.1713 0.5000  0.13
In1 0.3661 0.8661 0.0000  -0.01
In2 0.8661 0.6339 0.0000  -0.01
In3 0.6339 0.1339 0.0000  -0.01
In4 0.1339 0.3661 0.0000  -0.01

---

# 9
Hf2TiIn | PBE | optimized geometry

Summary:
- Space group: No. 160
- Final energy: -7.6436 eV per atom

Cell: 3.1633 3.1633 10.0744 Å, 80.96 80.96 60.00°
Sites, in units of the cell vectors:
Hf1 0.0794 0.0794 0.7619
Hf2 0.2537 0.2537 0.2389
Ti1 0.6669 0.6669 0.9994
In1 0.5001 0.5001 0.4999

---

# 10
Hf5Ti2In5 | PBE | optimized geometry

Summary:
- Space group: No. 12
- Final energy: -6.7222 eV per atom
- Excess energy over the best structure of this formula in the dataset: 0.0000 eV per atom

Cell: 3.2575 7.9120 10.7517 Å, 71.18 81.29 78.12°
Sites, in units of the cell vectors:
Hf1 0.8258 0.8294 0.5190
Hf2 0.2192 0.7878 0.7739
Hf3 0.7808 0.2122 0.2261
Hf4 0.1742 0.1706 0.4810
Hf5 0.0000 0.0000 0.0000
Ti1 0.8888 0.4859 0.7365
Ti2 0.1112 0.5141 0.2635
In1 0.5000 0.5000 0.5000
In2 0.3407 0.3490 0.9696
In3 0.4412 0.8577 0.2599
In4 0.5588 0.1423 0.7401
In5 0.6593 0.6510 0.0304

---

# 11
HfTi6In2 | PBE | optimized geometry

Summary:
- Space group: No. 2
- Final energy: -6.9603 eV per atom
- Excess energy over the best structure of this formula in the dataset: 0.0000 eV per atom

Cell: 3.0537 7.6100 8.3760 Å, 62.93 85.39 79.83°
Sites, in units of the cell vectors:
Hf1 0.0000 0.0000 0.0000
Ti1 0.1577 0.8131 0.6904
Ti2 0.8423 0.1869 0.3096
Ti3 0.3364 0.3432 0.0000
Ti4 0.1584 0.5039 0.3096
Ti5 0.8416 0.4961 0.6904
Ti6 0.6636 0.6568 0.0000
In1 0.5002 0.8213 0.3577
In2 0.4998 0.1787 0.6423

---

# 12
Hf3Ti9In2 | PBE | optimized geometry

Summary:
- Space group: No. 71
- Final energy: -7.5221 eV per atom

Cell: 4.5665 8.1042 8.1042 Å, 95.34 73.64 73.64°
Site moments in Bohr magnetons follow the coordinates.
Sites, in units of the cell vectors:
Hf1 0.0000 0.0000 0.0000  0.03
Hf2 0.7033 0.2967 0.2967  0.10
Hf3 0.2967 0.7033 0.7033  0.10
Ti1 0.0000 0.5000 0.5000  1.00
Ti2 0.6464 0.9590 0.7481  -0.06
Ti3 0.3536 0.0410 0.2519  -0.06
Ti4 0.6464 0.7481 0.9590  -0.06
Ti5 0.3536 0.2519 0.0410  -0.06
Ti6 0.8387 0.9203 0.4022  0.07
Ti7 0.1613 0.0797 0.5978  0.07
Ti8 0.8387 0.4022 0.9203  0.07
Ti9 0.1613 0.5978 0.0797  0.07
In1 0.5000 0.3200 0.6800  -0.01
In2 0.5000 0.6800 0.3200  -0.01

---

Question: final energy of number 8 (Hf2TiIn2)?
Answer: -6.6238 eV per atom

---

Question: Which value of final energy does entry 9 give?
Answer: -7.6436 eV per atom